The following is a GGA-PBE calculation of an optimized crystal structure of PaTlPt, from the Open Quantum Materials Database.

Cell and atoms, written as CIF:
```
data_PaTlPt
_cell_length_a 6.723
_cell_length_b 6.723
_cell_length_c 6.723
_cell_angle_alpha 90.00
_cell_angle_beta 90.00
_cell_angle_gamma 90.00
_symmetry_space_group_name_H-M 'F -4 3 m'
_symmetry_Int_Tables_number 216
_symmetry_space_group_name_Hall 'F -4 2 3'
loop_
_atom_site_label
_atom_site_type_symbol
_atom_site_fract_x
_atom_site_fract_y
_atom_site_fract_z
_atom_site_occupancy
Pa1 Pa 0.000 0.000 0.000 1
Tl1 Tl 0.000 0.000 0.500 1
Pt1 Pt 0.250 0.250 0.250 1
```

Computed properties:
- Electronic total energy: -6.428 eV per atom
- Crystal system: cubic

***

The following is a GGA-PBE calculation of an optimized crystal structure of PaTlPt, from the Open Quantum Materials Database.

Cell and atoms, written as CIF:
```
data_PaTlPt
_cell_length_a 4.756
_cell_length_b 4.756
_cell_length_c 6.911
_cell_angle_alpha 90.00
_cell_angle_beta 90.00
_cell_angle_gamma 90.00
_symmetry_space_group_name_H-M 'P 4/n m m'
_symmetry_Int_Tables_number 129
loop_
_symmetry_equiv_pos_as_xyz
'x,y,z'
'-x,-y,-z'
'-y+1/2,x,z'
'y+1/2,-x,-z'
'-x+1/2,-y+1/2,z'
'x+1/2,y+1/2,-z'
'y,-x+1/2,z'
'-y,x+1/2,-z'
'x+1/2,-y,-z'
'-x+1/2,y,z'
'-y,-x,-z'
'y,x,z'
'-x,y+1/2,-z'
'x,-y+1/2,z'
'y+1/2,x+1/2,-z'
'-y+1/2,-x+1/2,z'
loop_
_atom_site_label
_atom_site_type_symbol
_atom_site_fract_x
_atom_site_fract_y
_atom_site_fract_z
_atom_site_occupancy
Pa1 Pa 0.250 0.750 0.000 1
Tl1 Tl 0.250 0.250 0.372 1
Pt1 Pt 0.250 0.250 0.776 1
```

Computed properties:
- Electronic total energy: -6.275 eV per atom
- Crystal system: tetragonal

***

The following is a GGA-PBE calculation of an optimized crystal structure of PaTlPt, from the Open Quantum Materials Database.

Cell and atoms, written as CIF:
```
data_PaTlPt
_cell_length_a 6.904
_cell_length_b 6.904
_cell_length_c 6.904
_cell_angle_alpha 90.00
_cell_angle_beta 90.00
_cell_angle_gamma 90.00
_symmetry_space_group_name_H-M 'F -4 3 m'
_symmetry_Int_Tables_number 216
_symmetry_space_group_name_Hall 'F -4 2 3'
loop_
_atom_site_label
_atom_site_type_symbol
_atom_site_fract_x
_atom_site_fract_y
_atom_site_fract_z
_atom_site_occupancy
Pa1 Pa 0.000 0.000 0.000 1
Tl1 Tl 0.250 0.250 0.250 1
Pt1 Pt 0.250 0.250 0.750 1
```

Computed properties:
- Electronic total energy: -5.819 eV per atom
- Crystal system: cubic

***

The following is a GGA-PBE calculation of an optimized crystal structure of TmPaPt, from the Open Quantum Materials Database.

Cell and atoms, written as CIF:
```
data_TmPaPt
_cell_length_a 6.837
_cell_length_b 6.837
_cell_length_c 6.837
_cell_angle_alpha 90.00
_cell_angle_beta 90.00
_cell_angle_gamma 90.00
_symmetry_space_group_name_H-M 'F -4 3 m'
_symmetry_Int_Tables_number 216
_symmetry_space_group_name_Hall 'F -4 2 3'
loop_
_atom_site_label
_atom_site_type_symbol
_atom_site_fract_x
_atom_site_fract_y
_atom_site_fract_z
_atom_site_occupancy
Tm1 Tm 0.000 0.000 0.000 1
Pa1 Pa 0.000 0.000 0.500 1
Pt1 Pt 0.250 0.250 0.750 1
```

Computed properties:
- ΔH_f (0 K): -1.27 eV/f.u.
- Excess energy over the best structure of this formula in the dataset: 0 meV/atom
- Crystal system: cubic

***

The following is a GGA-PBE calculation of an optimized crystal structure of PaPtW, from the Open Quantum Materials Database.

Cell and atoms, written as CIF:
```
data_PaPtW
_cell_length_a 6.389
_cell_length_b 6.389
_cell_length_c 6.389
_cell_angle_alpha 90.00
_cell_angle_beta 90.00
_cell_angle_gamma 90.00
_symmetry_space_group_name_H-M 'F -4 3 m'
_symmetry_Int_Tables_number 216
_symmetry_space_group_name_Hall 'F -4 2 3'
loop_
_atom_site_label
_atom_site_type_symbol
_atom_site_fract_x
_atom_site_fract_y
_atom_site_fract_z
_atom_site_occupancy
Pa1 Pa 0.000 0.000 0.000 1
Pt1 Pt 0.000 0.000 0.500 1
W1 W 0.250 0.250 0.750 1
```

Computed properties:
- ΔH_f (0 K): 1.00 eV/f.u.
- Excess energy over the best structure of this formula in the dataset: 0 meV/atom
- Crystal system: cubic

***

The following is a GGA-PBE calculation of an optimized crystal structure of ZrPaPt, from the Open Quantum Materials Database.

Cell and atoms, written as CIF:
```
data_ZrPaPt
_cell_length_a 6.700
_cell_length_b 6.700
_cell_length_c 6.700
_cell_angle_alpha 90.00
_cell_angle_beta 90.00
_cell_angle_gamma 90.00
_symmetry_space_group_name_H-M 'F -4 3 m'
_symmetry_Int_Tables_number 216
_symmetry_space_group_name_Hall 'F -4 2 3'
loop_
_atom_site_label
_atom_site_type_symbol
_atom_site_fract_x
_atom_site_fract_y
_atom_site_fract_z
_atom_site_occupancy
Zr1 Zr 0.000 0.000 0.000 1
Pa1 Pa 0.000 0.000 0.500 1
Pt1 Pt 0.250 0.250 0.750 1
```

Computed properties:
- ΔH_f (0 K): -0.73 eV/f.u.
- Excess energy over the best structure of this formula in the dataset: 0 meV/atom
- Crystal system: cubic

***

The following is a GGA-PBE calculation of an optimized crystal structure of ZrPaPt, from the Open Quantum Materials Database.

Cell and atoms, written as CIF:
```
data_ZrPaPt
_cell_length_a 6.595
_cell_length_b 6.595
_cell_length_c 6.595
_cell_angle_alpha 90.00
_cell_angle_beta 90.00
_cell_angle_gamma 90.00
_symmetry_space_group_name_H-M 'F -4 3 m'
_symmetry_Int_Tables_number 216
_symmetry_space_group_name_Hall 'F -4 2 3'
loop_
_atom_site_label
_atom_site_type_symbol
_atom_site_fract_x
_atom_site_fract_y
_atom_site_fract_z
_atom_site_occupancy
Zr1 Zr 0.000 0.000 0.000 1
Pa1 Pa 0.250 0.250 0.750 1
Pt1 Pt 0.000 0.000 0.500 1
```

Computed properties:
- ΔH_f (0 K): 0.34 eV/f.u.
- Excess energy over the best structure of this formula in the dataset: 357 meV/atom
- Crystal system: cubic

***

The following is a GGA-PBE calculation of an optimized crystal structure of PuPa, from the Open Quantum Materials Database.

Cell and atoms, written as CIF:
```
data_PuPa
_cell_length_a 3.8485
_cell_length_b 3.8485
_cell_length_c 6.3156
_cell_angle_alpha 90.00
_cell_angle_beta 90.00
_cell_angle_gamma 120.00
_symmetry_space_group_name_H-M 'P 63/m m c'
_symmetry_Int_Tables_number 194
_symmetry_space_group_name_Hall '-P 6c 2c'
loop_
_atom_site_label
_atom_site_type_symbol
_atom_site_fract_x
_atom_site_fract_y
_atom_site_fract_z
_atom_site_occupancy
Pu1 Pu 0.3333 0.6667 0.2500 1
Pa1 Pa 0.0000 0.0000 0.0000 1
```

Computed properties:
- ΔH_f (0 K): 1.24 eV/f.u.
- Excess energy over the best structure of this formula in the dataset: 712 meV/atom
- Crystal system: hexagonal

***

no.,V (Å³ per atom)
1,25.33
2,26.05
3,27.42
4,26.63
5,21.73
6,25.07
7,23.90
8,20.25